Below is AlTlMoO6 after structural relaxation, with properties calculated at the GGA+U level.

The structure in CIF format:
```
data_AlTlMoO6
_chemical_formula_sum 'Al1 Tl1 Mo1 O6'
_cell_length_a 5.1113
_cell_length_b 5.1113
_cell_length_c 4.7756
_cell_angle_alpha 90.00
_cell_angle_beta 90.00
_cell_angle_gamma 120.00
_symmetry_space_group_name_H-M 'P 3 1 2'
_symmetry_Int_Tables_number 149
loop_
_symmetry_equiv_pos_as_xyz
'x,y,z'
'-y,x-y,z'
'-x+y,-x,z'
'-y,-x,-z'
'-x+y,y,-z'
'x,x-y,-z'
loop_
_atom_site_label
_atom_site_type_symbol
_atom_site_fract_x
_atom_site_fract_y
_atom_site_fract_z
Al1 Al 0.0000 0.0000 0.0000
Tl1 Tl 0.6667 0.3333 0.5000
Mo1 Mo 0.3333 0.6667 0.0000
O1 O 0.0326 0.3290 0.2186
```

Values from the calculation:
**Calculated density**: 6.5 g cm⁻³
**Calculated total energy**: -6.443 eV/atom
**Total moment**: 0.00 μB/f.u.